{
  "formula": "Sc2TcHIr",
  "functional": "GGA-PBE",
  "state": "relaxed",
  "total_magnetization_mub_per_atom": 0.00,
  "volume_a3_per_atom": 14.105,
  "final_energy_ev_per_atom": -7.62,
  "lattice": [[4.551, 0.000, 0.000], [0.000, 4.551, 0.000], [0.000, 0.000, 3.406]],
  "species": ["Sc", "Sc", "Tc", "H", "Ir"],
  "fractional_positions": [[0.000, 0.500, 0.000], [0.500, 0.000, 0.000], [0.000, 0.000, 0.500], [0.000, 0.000, 0.000], [0.500, 0.500, 0.500]]
}



{
  "formula": "Zn2CrAu6",
  "functional": "GGA-PBE",
  "state": "relaxed",
  "formation_enthalpy_0k_ev_per_atom": -0.05,
  "total_magnetization_mub_per_atom": 0.45,
  "volume_a3_per_atom": 17.172,
  "lattice": [[6.561, -4.803, 0.000], [6.561, 4.803, 0.000], [-0.661, 0.000, 4.905]],
  "species": ["Zn", "Zn", "Zn", "Zn", "Cr", "Cr", "Au", "Au", "Au", "Au", "Au", "Au", "Au", "Au", "Au", "Au", "Au", "Au"],
  "fractional_positions": [[0.036, 0.292, 0.085], [0.292, 0.036, 0.585], [0.708, 0.964, 0.415], [0.964, 0.708, 0.915], [0.376, 0.624, 0.750], [0.624, 0.376, 0.250], [0.063, 0.818, 0.481], [0.150, 0.404, 0.663], [0.182, 0.937, 0.019], [0.263, 0.515, 0.202], [0.404, 0.150, 0.163], [0.485, 0.737, 0.298], [0.515, 0.263, 0.702], [0.596, 0.850, 0.837], [0.737, 0.485, 0.798], [0.818, 0.063, 0.981], [0.850, 0.596, 0.337], [0.937, 0.182, 0.519]]
}



{
  "formula": "TbSm3Ho2",
  "functional": "GGA-PBE",
  "state": "relaxed",
  "formation_enthalpy_0k_ev_per_atom": 0.07,
  "total_magnetization_mub_per_atom": 0.00,
  "volume_a3_per_atom": 32.908,
  "lattice": [[9.651, 0.000, 0.000], [0.000, 3.556, 0.000], [-0.803, 0.000, 11.507]],
  "species": ["Tb", "Tb", "Sm", "Sm", "Sm", "Sm", "Sm", "Sm", "Ho", "Ho", "Ho", "Ho"],
  "fractional_positions": [[0.242, 0.250, 0.355], [0.758, 0.750, 0.645], [0.076, 0.750, 0.120], [0.238, 0.750, 0.860], [0.401, 0.750, 0.603], [0.599, 0.250, 0.397], [0.762, 0.250, 0.140], [0.924, 0.250, 0.880], [0.082, 0.250, 0.620], [0.443, 0.750, 0.143], [0.557, 0.250, 0.857], [0.918, 0.750, 0.380]]
}



{
  "formula": "Cs4Y3TmSe8",
  "functional": "GGA-PBE",
  "state": "relaxed",
  "total_magnetization_mub_per_atom": 0.00,
  "volume_a3_per_atom": 32.847,
  "e_form_raw_ev_per_atom": -1.732,
  "lattice": [[4.257, 2.458, 8.371], [-4.257, 2.458, 8.371], [0.000, -4.916, 8.371]],
  "species": ["Cs", "Cs", "Cs", "Cs", "Y", "Y", "Y", "Tm", "Se", "Se", "Se", "Se", "Se", "Se", "Se", "Se"],
  "fractional_positions": [[0.000, 0.000, 0.000], [0.000, 0.500, 0.500], [0.500, 0.000, 0.500], [0.500, 0.500, 0.000], [0.000, 0.000, 0.500], [0.000, 0.500, 0.000], [0.500, 0.000, 0.000], [0.500, 0.500, 0.500], [0.229, 0.229, 0.229], [0.231, 0.727, 0.727], [0.273, 0.273, 0.769], [0.273, 0.769, 0.273], [0.727, 0.231, 0.727], [0.727, 0.727, 0.231], [0.769, 0.273, 0.273], [0.771, 0.771, 0.771]]
}